Li3Ir | Alexandria via LeMat-Bulk | PBE-GGA | relaxed; volume = 14.115 Å³/atom; magnetization = 0.00 μB per cell; energy of formation from the pure elements = -0.124 eV per atom
1.0
2.4872 0.0000 0.0000
0.0000 4.4127 0.0000
-0.5891 0.0000 5.1445
Li Ir
3 1
Cartesian
0.0000 0.0000 0.0000
-0.0926 2.2063 3.7287
1.9906 2.2063 1.4158
0.9490 0.0000 2.5722